(1)
Cd4TeRh: optimized geometry, GGA-PBE.

a = 5.6991 Å, b = 5.6991 Å, c = 5.6991 Å
α = 60.00°, β = 60.00°, γ = 60.00°
Last column: nearest neighbours and their distance in Å.
Fractional coordinates of all 6 atoms:
Cd 0.1243 0.1243 0.1243  6 Cd 2.83-2.86
Cd 0.1243 0.1243 0.6270  6 Cd 2.83-2.86
Cd 0.1243 0.6270 0.1243  6 Cd 2.83-2.86
Cd 0.6270 0.1243 0.1243  6 Cd 2.83-2.86
Te 0.5000 0.5000 0.5000  12 Cd 3.34, 4 Rh 3.49
Rh 0.7500 0.7500 0.7500  12 Cd 3.34, 4 Te 3.49

Output
Calculated volume, Å³/atom: 21.81
Magnetization, μB/cell: 0.00
Formation energy (no corrections), eV per atom: 0.292

(2)
CdTeRh: optimized geometry, GGA-PBE.

a = 3.4989 Å, b = 3.4989 Å, c = 6.3397 Å
α = 90.00°, β = 90.00°, γ = 120.00°
Last column: nearest neighbours and their distance in Å.
Fractional coordinates of all 3 atoms:
Cd 0.0000 0.0000 0.0000  3 Rh 2.85
Te 0.3333 0.6667 0.5728  3 Rh 2.59
Rh 0.6667 0.3333 0.3179  3 Te 2.59, 3 Cd 2.85

Output
Calculated volume, Å³/atom: 22.40
Magnetization, μB/cell: 0.00
Formation energy (no corrections), eV per atom: -0.129